# 1
# In2Ga2Hg, optimized geometry, DFT GGA-PBE
# formation energy from the elements: 0.120 eV per atom
# energy above the most stable polymorph in this dataset: 0.078 eV/atom
# crystal system: tetragonal
# DOS at the Fermi energy: 1.06 states/eV/f.u.
# volume: 129.83 Å³/f.u.
data_In2Ga2Hg
_cell_length_a 5.600
_cell_length_b 5.600
_cell_length_c 8.281
_cell_angle_alpha 90.00
_cell_angle_beta 90.00
_cell_angle_gamma 90.00
_space_group_name_H-M_alt 'I 4/m m m'
_space_group_IT_number 139
_space_group_name_Hall '-I 4 2'
loop_
_atom_site_label
_atom_site_type_symbol
_atom_site_fract_x
_atom_site_fract_y
_atom_site_fract_z
_atom_site_occupancy
In1 In 0.000 0.500 0.250 1
Ga1 Ga 0.000 0.000 0.157 1
Hg1 Hg 0.000 0.000 0.500 1



# 2
# YZr2Hg, optimized geometry, DFT GGA-PBE
# formation energy from the elements: -0.060 eV per atom
# crystal system: tetragonal
# DOS at the Fermi energy: 6.16 states/eV/f.u.
# volume: 95.24 Å³/f.u.
data_YZr2Hg
_cell_length_a 4.411
_cell_length_b 4.411
_cell_length_c 9.791
_cell_angle_alpha 90.00
_cell_angle_beta 90.00
_cell_angle_gamma 90.00
_space_group_name_H-M_alt 'I 4/m m m'
_space_group_IT_number 139
_space_group_name_Hall '-I 4 2'
loop_
_atom_site_label
_atom_site_type_symbol
_atom_site_fract_x
_atom_site_fract_y
_atom_site_fract_z
_atom_site_occupancy
Y1 Y 0.000 0.000 0.000 1
Zr1 Zr 0.000 0.500 0.250 1
Hg1 Hg 0.000 0.000 0.500 1



# 3
# La3PaN5, optimized geometry, DFT GGA-PBE
# formation energy (no corrections): -1.00 eV/atom
# crystal system: tetragonal
# DOS at the Fermi energy: 6.23 states/eV/f.u.
# volume: 155.67 Å³/f.u.
data_La3PaN5
_cell_length_a 7.001
_cell_length_b 7.001
_cell_length_c 12.705
_cell_angle_alpha 90.00
_cell_angle_beta 90.00
_cell_angle_gamma 90.00
_space_group_name_H-M_alt 'I 4/m c m'
_space_group_IT_number 140
_space_group_name_Hall '-I 4 2c'
loop_
_atom_site_label
_atom_site_type_symbol
_atom_site_fract_x
_atom_site_fract_y
_atom_site_fract_z
_atom_site_occupancy
La1 La 0.000 0.000 0.250 1
La2 La 0.180 0.320 0.000 1
Pa1 Pa 0.000 0.500 0.250 1
N1 N 0.000 0.000 0.000 1
N2 N 0.170 0.330 0.353 1



# 4
# PmNd5Dy2Tm, optimized geometry, DFT GGA-PBE
# formation energy from the elements: 0.142 eV per atom
# crystal system: orthorhombic
# DOS at the Fermi energy: 14.20 states/eV/f.u.
# volume: 311.46 Å³/f.u.
data_PmNd5Dy2Tm
_cell_length_a 5.658
_cell_length_b 20.466
_cell_length_c 10.760
_cell_angle_alpha 90.00
_cell_angle_beta 90.00
_cell_angle_gamma 90.00
_space_group_name_H-M_alt 'C m c 21'
_space_group_IT_number 36
_space_group_name_Hall 'C 2c -2'
loop_
_atom_site_label
_atom_site_type_symbol
_atom_site_fract_x
_atom_site_fract_y
_atom_site_fract_z
_atom_site_occupancy
Pm1 Pm 0.000 0.200 0.000 1
Nd1 Nd 0.000 0.016 0.011 1
Nd2 Nd 0.000 0.281 0.300 1
Nd3 Nd 0.000 0.297 0.695 1
Nd4 Nd 0.000 0.389 0.014 1
Nd5 Nd 0.000 0.481 0.734 1
Dy1 Dy 0.000 0.111 0.729 1
Dy2 Dy 0.000 0.116 0.304 1
Tm1 Tm 0.000 0.409 0.453 1



# 5
# Y2S4I, optimized geometry, DFT GGA-PBE
# formation energy (no corrections): -0.55 eV/atom
# crystal system: tetragonal
# DOS at the Fermi energy: 1.24 states/eV/f.u.
# volume: 194.56 Å³/f.u.
data_Y2S4I
_cell_length_a 5.052
_cell_length_b 5.052
_cell_length_c 15.247
_cell_angle_alpha 90.00
_cell_angle_beta 90.00
_cell_angle_gamma 90.00
_space_group_name_H-M_alt 'I 4/m m m'
_space_group_IT_number 139
_space_group_name_Hall '-I 4 2'
loop_
_atom_site_label
_atom_site_type_symbol
_atom_site_fract_x
_atom_site_fract_y
_atom_site_fract_z
_atom_site_occupancy
Y1 Y 0.000 0.000 0.135 1
S1 S 0.000 0.000 0.296 1
S2 S 0.000 0.500 0.000 1
I1 I 0.000 0.000 0.500 1



# 6
# CaAcPdAu, optimized geometry, DFT GGA-PBE
# formation energy from the elements: -0.808 eV per atom
# energy above the most stable polymorph in this dataset: 0.000 eV/atom
# crystal system: orthorhombic
# DOS at the Fermi energy: 3.03 states/eV/f.u.
# volume: 109.23 Å³/f.u.
data_CaAcPdAu
_cell_length_a 4.567
_cell_length_b 4.143
_cell_length_c 11.546
_cell_angle_alpha 90.00
_cell_angle_beta 90.00
_cell_angle_gamma 90.00
_space_group_name_H-M_alt 'A m m 2'
_space_group_IT_number 38
_space_group_name_Hall 'A 2 -2'
loop_
_atom_site_label
_atom_site_type_symbol
_atom_site_fract_x
_atom_site_fract_y
_atom_site_fract_z
_atom_site_occupancy
Ca1 Ca 0.000 0.000 0.000 1
Ac1 Ac 0.500 0.000 0.726 1
Pd1 Pd 0.000 0.000 0.278 1
Au1 Au 0.500 0.000 0.446 1



# 7
# Nd12Dy7Ho, optimized geometry, DFT GGA-PBE
# formation energy from the elements: 0.231 eV per atom
# energy above the most stable polymorph in this dataset: 0.002 eV/atom
# crystal system: trigonal
# DOS at the Fermi energy: 27.84 states/eV/f.u.
# volume: 696.61 Å³/f.u.
data_Nd12Dy7Ho
_cell_length_a 19.6666
_cell_length_b 19.6666
_cell_length_c 6.2391
_cell_angle_alpha 90.00
_cell_angle_beta 90.00
_cell_angle_gamma 120.00
_space_group_name_H-M_alt 'R -3 m'
_space_group_IT_number 166
_space_group_name_Hall '-R 3 2"'
loop_
_atom_site_label
_atom_site_type_symbol
_atom_site_fract_x
_atom_site_fract_y
_atom_site_fract_z
_atom_site_occupancy
Nd1 Nd 0.0000 0.4123 0.0000 1
Nd2 Nd 0.0977 0.5489 0.4644 1
Dy1 Dy 0.0000 0.0000 0.0000 1
Dy2 Dy 0.0816 0.1631 0.2935 1
Ho1 Ho 0.0000 0.0000 0.5000 1



# 8
# CeEuCuSn, optimized geometry, DFT GGA-PBE
# formation energy from the elements: -0.320 eV per atom
# crystal system: cubic
# DOS at the Fermi energy: 9.51 states/eV/f.u.
# volume: 108.15 Å³/f.u.
data_CeEuCuSn
_cell_length_a 7.563
_cell_length_b 7.563
_cell_length_c 7.563
_cell_angle_alpha 90.00
_cell_angle_beta 90.00
_cell_angle_gamma 90.00
_space_group_name_H-M_alt 'F -4 3 m'
_space_group_IT_number 216
_space_group_name_Hall 'F -4 2 3'
loop_
_atom_site_label
_atom_site_type_symbol
_atom_site_fract_x
_atom_site_fract_y
_atom_site_fract_z
_atom_site_occupancy
Ce1 Ce 0.000 0.000 0.000 1
Eu1 Eu 0.000 0.000 0.500 1
Cu1 Cu 0.250 0.250 0.750 1
Sn1 Sn 0.250 0.250 0.250 1



> Look up the DOS at the Fermi energy of the second one.

6.16 states/eV/f.u.



> What is the formula in the seventh record?

Nd12Dy7Ho